[1]
First-principles (GGA-PBE) data for a geometry-optimized NaSc2ZnPd structure, as listed in Alexandria.

The structure in POSCAR format:
```
NaSc2ZnPd
1.0
-3.712 -2.653 -2.205
1.368 -3.704 2.153
-3.086 1.107 3.864
Sc Na Zn Pd
2 1 1 1
direct
0.000 0.000 0.500 Sc
0.500 0.000 0.000 Sc
0.000 0.000 0.000 Na
0.000 0.500 0.000 Zn
0.500 0.500 0.500 Pd
```

Magnetization ... 0.183 μB/atom
SG ... P4/mmm (123)
Theoretical density ... 4.09 g/cm3
ΔH_f (0 K) ... 921 meV/atom



[2]
First-principles (GGA-PBE) data for a geometry-optimized NaPd4Se2 structure, as listed in Alexandria.

The structure in POSCAR format:
```
NaPd4Se2
1.0
4.145 0.000 0.000
0.000 4.157 0.000
0.000 -2.078 7.910
Na Pd Se
1 4 2
direct
0.000 0.000 0.000 Na
0.500 0.810 0.620 Pd
0.000 0.686 0.372 Pd
0.500 0.190 0.380 Pd
0.000 0.314 0.628 Pd
0.500 0.601 0.201 Se
0.500 0.399 0.799 Se
```

Magnetization ... 0.000 μB/atom
Energy above the most stable polymorph in this dataset ... 7 meV per atom
SG ... Cmmm (65)
Theoretical density ... 7.39 g/cm3
Formation energy (no corrections) ... -362 meV per atom



[3]
First-principles (GGA-PBE) data for a geometry-optimized NaPd3Se structure, as listed in Alexandria.

The structure in POSCAR format:
```
NaPd3Se
1.0
-2.326 2.530 3.290
-2.264 -3.934 1.425
3.479 -0.868 3.127
Na Se Pd
1 1 3
direct
0.500 0.500 0.500 Na
0.000 0.000 0.000 Se
0.000 0.500 0.000 Pd
0.000 0.000 0.500 Pd
0.500 0.000 0.000 Pd
```

Magnetization ... 0.000 μB/atom
Energy above the most stable polymorph in this dataset ... 0 meV per atom
SG ... Pm-3m (221)
Theoretical density ... 6.49 g/cm3
Formation energy (no corrections) ... -140 meV per atom